1.
{"formula": "Pm12NiPd6", "functional": "PBE", "state": "relaxed", "formation_energy_ev_per_atom": -0.434, "final_energy_ev_per_fu": -102.2, "total_magnetization_mub_per_atom": 0.000, "cell": [[6.353, 3.668, 4.066], [-6.353, 3.668, 4.066], [0.000, -7.335, 4.066]], "species": ["Pm", "Pm", "Pm", "Pm", "Pm", "Pm", "Pm", "Pm", "Pm", "Pm", "Pm", "Pm", "Ni", "Pd", "Pd", "Pd", "Pd", "Pd", "Pd"], "fractional_positions": [[0.041, 0.926, 0.683], [0.074, 0.317, 0.959], [0.182, 0.579, 0.418], [0.317, 0.959, 0.074], [0.418, 0.182, 0.579], [0.421, 0.582, 0.818], [0.579, 0.418, 0.182], [0.582, 0.818, 0.421], [0.683, 0.041, 0.926], [0.818, 0.421, 0.582], [0.926, 0.683, 0.041], [0.959, 0.074, 0.317], [0.000, 0.000, 0.000], [0.129, 0.308, 0.620], [0.308, 0.620, 0.129], [0.380, 0.871, 0.692], [0.620, 0.129, 0.308], [0.692, 0.380, 0.871], [0.871, 0.692, 0.380]]}

---

2.
{"formula": "Pm3NiPd2", "functional": "PBE", "state": "relaxed", "formation_energy_ev_per_atom": -0.622, "final_energy_ev_per_fu": -34.1, "total_magnetization_mub_per_atom": 0.000, "cell": [[11.723, 0.000, 0.000], [0.000, 4.123, 0.000], [0.000, 0.000, 11.865]], "species": ["Pm", "Pm", "Pm", "Pm", "Pm", "Pm", "Pm", "Pm", "Pm", "Pm", "Pm", "Pm", "Ni", "Ni", "Ni", "Ni", "Pd", "Pd", "Pd", "Pd", "Pd", "Pd", "Pd", "Pd"], "fractional_positions": [[0.054, 0.250, 0.125], [0.122, 0.750, 0.554], [0.221, 0.250, 0.803], [0.279, 0.750, 0.303], [0.378, 0.250, 0.054], [0.446, 0.750, 0.625], [0.554, 0.250, 0.375], [0.622, 0.750, 0.946], [0.721, 0.250, 0.697], [0.779, 0.750, 0.197], [0.878, 0.250, 0.446], [0.946, 0.750, 0.875], [0.122, 0.250, 0.371], [0.378, 0.750, 0.871], [0.622, 0.250, 0.129], [0.878, 0.750, 0.629], [0.007, 0.750, 0.305], [0.185, 0.750, 0.992], [0.315, 0.250, 0.492], [0.493, 0.250, 0.805], [0.507, 0.750, 0.195], [0.685, 0.750, 0.508], [0.815, 0.250, 0.008], [0.993, 0.250, 0.695]]}

---

Number 1: volume 568 Å³/cell. Number 2: volume 573 Å³/cell.